# Na2HgAs2, relaxed, DFT PBE-GGA
# - DFT formation energy: -0.278 eV per atom
# - E above lowest polymorph: 0.00 eV per formula unit
# - M_tot: 0.0 μB/cell
# - Calculated volume: 489.83 Å³/cell
# - Calculated total energy: -2.726 eV per atom
data_Na2HgAs2
_chemical_formula_sum 'Na8 Hg4 As8'
_cell_length_a 10.9673
_cell_length_b 4.7293
_cell_length_c 10.7634
_cell_angle_alpha 90.00
_cell_angle_beta 118.67
_cell_angle_gamma 90.00
_space_group_name_H-M_alt 'C 1 2/m 1'
_space_group_IT_number 12
loop_
_space_group_symop_operation_xyz
'x,y,z'
'-x,-y,-z'
'-x,y,-z'
'x,-y,z'
'x+1/2,y+1/2,z'
'-x+1/2,-y+1/2,-z'
'-x+1/2,y+1/2,-z'
'x+1/2,-y+1/2,z'
loop_
_atom_site_label
_atom_site_fract_x
_atom_site_fract_y
_atom_site_fract_z
Na1 0.0026 0.0000 0.3092
Na2 0.1833 0.0000 0.0952
Hg1 0.2248 0.5000 0.3342
As1 0.0266 0.5000 0.8992
As2 0.1293 0.5000 0.5472

# Na4Hg5As2, relaxed, DFT PBE-GGA
# - DFT formation energy: -0.224 eV per atom
# - M_tot: 0.0 μB/cell
# - Calculated volume: 289.42 Å³/cell
# - Calculated total energy: -1.686 eV per atom
data_Na4Hg5As2
_chemical_formula_sum 'Na4 Hg5 As2'
_cell_length_a 7.9502
_cell_length_b 4.0658
_cell_length_c 9.0387
_cell_angle_alpha 90.00
_cell_angle_beta 97.87
_cell_angle_gamma 90.00
_space_group_name_H-M_alt 'P 1 2/m 1'
_space_group_IT_number 10
loop_
_space_group_symop_operation_xyz
'x,y,z'
'-x,-y,-z'
'-x,y,-z'
'x,-y,z'
loop_
_atom_site_label
_atom_site_fract_x
_atom_site_fract_y
_atom_site_fract_z
Na1 0.1972 0.0000 0.3573
Na2 0.2271 0.0000 0.9223
Hg1 0.1592 0.5000 0.6313
Hg2 0.4691 0.5000 0.1627
Hg3 0.5000 0.5000 0.5000
As1 0.0766 0.5000 0.1224

# Na2Hg2As, relaxed, DFT PBE-GGA
# - DFT formation energy: -0.241 eV per atom
# - E above lowest polymorph: 0.04 eV per formula unit
# - M_tot: 0.0 μB/cell
# - Calculated volume: 522.95 Å³/cell
# - Calculated total energy: -1.819 eV per atom
data_Na2Hg2As
_chemical_formula_sum 'Na8 Hg8 As4'
_cell_length_a 11.0163
_cell_length_b 4.4565
_cell_length_c 11.5297
_cell_angle_alpha 90.00
_cell_angle_beta 112.50
_cell_angle_gamma 90.00
_space_group_name_H-M_alt 'C 1 2/m 1'
_space_group_IT_number 12
loop_
_space_group_symop_operation_xyz
'x,y,z'
'-x,-y,-z'
'-x,y,-z'
'x,-y,z'
'x+1/2,y+1/2,z'
'-x+1/2,-y+1/2,-z'
'-x+1/2,y+1/2,-z'
'x+1/2,-y+1/2,z'
loop_
_atom_site_label
_atom_site_fract_x
_atom_site_fract_y
_atom_site_fract_z
Na1 0.0158 0.0000 0.3438
Na2 0.1933 0.0000 0.1230
Hg1 0.0357 0.5000 0.8867
Hg2 0.1444 0.5000 0.5534
As1 0.2183 0.5000 0.3213

# Na2Hg2As, relaxed, DFT PBE-GGA
# - DFT formation energy: -0.043 eV per atom
# - E above lowest polymorph: 1.03 eV per formula unit
# - M_tot: 0.0 μB/cell
# - Calculated volume: 256.90 Å³/cell
# - Calculated total energy: -1.621 eV per atom
data_Na2Hg2As
_chemical_formula_sum 'Na4 Hg4 As2'
_cell_length_a 8.2342
_cell_length_b 8.2342
_cell_length_c 3.7890
_cell_angle_alpha 90.00
_cell_angle_beta 90.00
_cell_angle_gamma 90.00
_space_group_name_H-M_alt 'P 4/m b m'
_space_group_IT_number 127
_space_group_name_Hall '-P 4 2ab'
loop_
_atom_site_label
_atom_site_fract_x
_atom_site_fract_y
_atom_site_fract_z
Na1 0.1655 0.3345 0.0000
Hg1 0.1353 0.6353 0.5000
As1 0.0000 0.0000 0.0000